# ZnSn5O7, optimized geometry, DFT PBE
# - density of states at the Fermi level (states/eV per cell) = 8.0
# - raw total energy (eV for the cell shown) = -282.1
# - uncorrected formation energy (meV/atom) = -1118
# - magnetic moment (μB/cell) = 0.00
data_ZnSn5O7
_symmetry_space_group_name_H-M 'C m c m'
_symmetry_Int_Tables_number 63
_symmetry_space_group_name_Hall '-C 2c 2'
_cell_length_a 3.250
_cell_length_b 10.781
_cell_length_c 23.626
_cell_angle_alpha 90.00
_cell_angle_beta 90.00
_cell_angle_gamma 90.00
loop_
_atom_site_label
_atom_site_type_symbol
_atom_site_fract_x
_atom_site_fract_y
_atom_site_fract_z
Zn1 Zn 0.000 0.104 0.250
Sn1 Sn 0.000 0.000 0.000
Sn2 Sn 0.000 0.287 0.589
Sn3 Sn 0.000 0.427 0.166
O1 O 0.000 0.057 0.161
O2 O 0.000 0.201 0.675
O3 O 0.000 0.361 0.081
O4 O 0.000 0.489 0.250